A plane-wave DFT calculation with meta-GGA SCAN was carried out for a crystal of PrAl2 relaxed with PBEsol.

abc: 8.0058 8.0058 8.0058
angles: 90.00 90.00 90.00
With the nearest neighbours (Å) after each atom.
Space group Fd-3m (No. 227, origin choice 2)
Symmetry-distinct sites (fractional):
Pr  0.1250  0.1250  0.1250 x8  12 Al 3.32, 4 Pr 3.47
Al  0.0000  0.0000  0.5000 x16  6 Al 2.83

***

A plane-wave DFT calculation with meta-GGA SCAN was carried out for a crystal of PrAlRh relaxed with PBEsol.

abc: 6.9930 4.2459 8.0724
angles: 90.00 90.00 90.00
With the nearest neighbours (Å) after each atom.
Space group Pnma (No. 62)
Symmetry-distinct sites (fractional):
Pr  0.0372  0.2500  0.1809 x4  5 Rh 2.91-3.07, 3 Al 3.14-3.21
Al  0.1335  0.2500  0.5608 x4  4 Rh 2.58-2.77
Rh  0.2294  0.7500  0.3827 x4  4 Al 2.58-2.77

***

A plane-wave DFT calculation with meta-GGA SCAN was carried out for a crystal of Pr2Al9Rh3 relaxed with PBEsol.

abc: 13.0374 7.6474 9.5391
angles: 90.00 90.00 90.00
With the nearest neighbours (Å) after each atom.
Space group Cmcm (No. 63)
Symmetry-distinct sites (fractional):
Pr  0.1614  0.1668  0.2500 x8  11 Al 3.06-3.17, 2 Rh 3.43
Al  0.0000  0.1308  0.7500 x4  2 Rh 2.59, 6 Al 2.76-2.77
Al  0.0000  0.3336  0.0443 x8  3 Rh 2.59-2.60, 3 Al 2.68-2.75
Al  0.1044  0.4448  0.7500 x8  2 Rh 2.57, 4 Al 2.72-2.82
Al  0.1668  0.1691  0.5735 x16  3 Rh 2.58-2.63, 4 Al 2.75-2.86
Rh  0.0000  0.0000  0.0000 x4  8 Al 2.59-2.63
Rh  0.1709  0.5000  0.0000 x8  8 Al 2.57-2.63

***

| no. | formation enthalpy at 0 K (eV per atom) |
| --- | --- |
| 1 | -0.53 |
| 2 | -0.92 |
| 3 | -0.93 |